This record from OQMD via LeMat-Bulk describes a geometry-optimized Hf4SbTeC2 structure. The functional is PBE.

Values from the calculation:
crystal system	hexagonal
E	-8.984	eV per atom
magnetic moment	0.001	μB/cell

Lattice parameters (Å, degrees): 3.4737 3.4737 13.4461 90.00 90.00 120.00
Closest atoms and distances in Å follow each position.
Fractional positions:
1 Hf 0.0000 0.0000 0.1597  3 C 2.33
2 Hf 0.0000 0.0000 0.8403  3 C 2.33
3 Hf 0.6667 0.3333 0.3347  3 C 2.32
4 Hf 0.6667 0.3333 0.6653  3 C 2.32
5 Sb 0.0000 0.0000 0.5000  6 Hf 2.99
6 Te 0.6667 0.3333 0.0000  6 Hf 2.94
7 C 0.3333 0.6667 0.2474  6 Hf 2.32-2.33
8 C 0.3333 0.6667 0.7526  6 Hf 2.32-2.33



This record from OQMD via LeMat-Bulk describes a geometry-optimized Hf4TlSbC2 structure. The functional is PBE.

Values from the calculation:
crystal system	hexagonal
E	-8.781	eV per atom
magnetic moment	0.000	μB/cell

Lattice parameters (Å, degrees): 3.3708 3.3708 14.4046 90.00 90.00 120.00
Closest atoms and distances in Å follow each position.
Fractional positions:
1 Hf 0.0000 0.0000 0.1595  3 C 2.30
2 Hf 0.0000 0.0000 0.8405  3 C 2.30
3 Hf 0.6667 0.3333 0.3267  3 C 2.28
4 Hf 0.6667 0.3333 0.6733  3 C 2.28
5 Tl 0.0000 0.0000 0.5000  6 Hf 3.16, 6 Tl 3.37
6 Sb 0.6667 0.3333 0.0000  6 Hf 3.01, 6 Sb 3.37
7 C 0.3333 0.6667 0.2443  6 Hf 2.28-2.30
8 C 0.3333 0.6667 0.7557  6 Hf 2.28-2.30



This record from OQMD via LeMat-Bulk describes a geometry-optimized TmHfSbC structure. The functional is PBE.

Values from the calculation:
crystal system	trigonal
E	-7.641	eV per atom
magnetic moment	0.002	μB/cell
ΔE to the lowest computed polymorph	23	meV per atom

Lattice parameters (Å, degrees): 3.4952 3.4952 14.4481 90.00 90.00 120.00
Closest atoms and distances in Å follow each position.
Fractional positions:
1 Tm 0.3333 0.6667 0.4093  3 C 2.41
2 Tm 0.6667 0.3333 0.5907  3 C 2.41
3 Hf 0.3333 0.6667 0.0811  3 C 2.33
4 Hf 0.6667 0.3333 0.9189  3 C 2.33
5 Sb 0.3333 0.6667 0.7621  3 Hf 3.03, 3 Tm 3.19
6 Sb 0.6667 0.3333 0.2379  3 Hf 3.03, 3 Tm 3.19
7 C 0.0000 0.0000 0.0000  6 Hf 2.33
8 C 0.0000 0.0000 0.5000  6 Tm 2.41